Entry 1:
Density functional theory data (PBE) for a relaxed TaTeCN2 crystal.

Cell and atoms, written as POSCAR:
```
TaTeCN2
1.0
3.899 0.000 0.000
0.000 3.899 0.000
0.000 0.000 6.016
Ta Te C N
1 1 1 2
Cartesian
0.000 0.000 0.000 Ta
0.000 0.000 3.008 Te
1.950 1.950 3.008 C
0.000 1.950 0.000 N
1.950 0.000 0.000 N
```

Values from the calculation:
Its polymorph energy (0 for the lowest one) is 0 meV per atom.

---

Entry 2:
Density functional theory data (PBE) for a relaxed Y2TaCN crystal.

Cell and atoms, written as POSCAR:
```
Y2TaCN
1.0
5.346 0.000 0.000
0.000 5.346 0.000
0.000 0.000 3.974
Y Ta C N
2 1 1 1
Cartesian
0.000 2.673 0.000 Y
2.673 0.000 0.000 Y
0.000 0.000 0.000 Ta
0.000 0.000 1.987 C
2.673 2.673 1.987 N
```

---

Entry 3:
Density functional theory data (PBE) for a relaxed Ta2ZnCN crystal.

Cell and atoms, written as POSCAR:
```
Ta2ZnCN
1.0
4.723 0.000 0.000
0.000 4.723 0.000
0.000 0.000 3.408
Ta Zn C N
2 1 1 1
Cartesian
0.000 2.361 0.000 Ta
2.361 0.000 0.000 Ta
0.000 0.000 0.000 Zn
2.361 2.361 1.704 C
0.000 0.000 1.704 N
```

---

Number 1: raw formation energy 6.824 eV per formula unit, M_tot 1.6 Bohr magnetons per cell, DOS(E_F) 2.8 states/eV/cell. Number 2: raw formation energy 7.395 eV per formula unit, M_tot 0.0 Bohr magnetons per cell, DOS(E_F) 4.1 states/eV/cell. Number 3: raw formation energy 11.602 eV per formula unit, M_tot 0.0 Bohr magnetons per cell, DOS(E_F) 3.4 states/eV/cell.